--- i ---
Density functional theory data (SCAN) for MgRhI2O at its PBEsol-relaxed geometry.

Output
Its crystal system is tetragonal. The density comes out at 6.17 g cm⁻³. Its symmetry is No. 123.

```
MgRhI2O
1.0
-3.2614 1.3422 -0.6077
-1.9551 -5.0582 -0.6797
-1.1138 -0.2874 5.3428
I Mg Rh O
2 1 1 1
Direct
0.0000 0.0000 0.5000
0.0000 0.5000 0.0000
0.0000 0.0000 0.0000
0.5000 0.5000 0.5000
0.5000 0.0000 0.0000
```

--- ii ---
Density functional theory data (SCAN) for MgRhI2O at its PBEsol-relaxed geometry.

Output
Its crystal system is tetragonal. The density comes out at 5.81 g cm⁻³. Its symmetry is No. 123.

```
MgRhI2O
1.0
-3.7111 -0.3623 -0.1836
0.4866 -2.5099 -4.8841
0.3505 -4.8790 2.5422
I Mg Rh O
2 1 1 1
Direct
0.0000 0.0000 0.5000
0.0000 0.5000 0.0000
0.5000 0.5000 0.5000
0.0000 0.0000 0.0000
0.5000 0.0000 0.0000
```

Here are the energies relative to the best structure, in meV/atom: i 237; ii 0.

--- i ---
Density functional theory data (SCAN) for MnI2NO at its PBEsol-relaxed geometry.

Output
Its crystal system is tetragonal. The density comes out at 6.46 g cm⁻³. Its symmetry is No. 123.

```
MnI2NO
1.0
3.7400 0.0000 0.0000
0.0000 4.8263 0.0000
0.0000 0.0000 4.8263
I Mn O N
2 1 1 1
Direct
0.0000 0.0000 0.5000
0.0000 0.5000 0.0000
0.5000 0.5000 0.5000
0.5000 0.0000 0.0000
0.0000 0.0000 0.0000
```

--- ii ---
Density functional theory data (SCAN) for MnI2NO at its PBEsol-relaxed geometry.

Output
Its crystal system is tetragonal. The density comes out at 5.21 g cm⁻³. Its symmetry is No. 123.

```
MnI2NO
1.0
-3.0557 0.5785 -1.6325
-1.8469 -4.9407 1.7060
-2.0153 2.3426 4.6024
I Mn O N
2 1 1 1
Direct
0.0000 0.0000 0.5000
0.0000 0.5000 0.0000
0.0000 0.0000 0.0000
0.5000 0.0000 0.0000
0.5000 0.5000 0.5000
```

Here are the energies relative to the best structure, in meV/atom: i 579; ii 0.

--- i ---
Density functional theory data (SCAN) for MnI2O6 at its PBEsol-relaxed geometry.

Output
Its crystal system is monoclinic. The density comes out at 5.16 g cm⁻³. Its symmetry is No. 4.

```
MnI2O6
1.0
4.9579 0.0000 0.0000
0.0000 5.5328 0.0027
0.0000 -0.0526 9.5032
Mn I O
2 4 12
Direct
0.8110 0.2671 0.7552
0.3110 0.7329 0.2448
0.7566 0.7628 0.5671
0.2566 0.2372 0.4329
0.7399 0.2327 0.1002
0.2399 0.7673 0.8998
0.5969 0.3565 0.9362
0.0969 0.6435 0.0638
0.0356 0.1526 0.5823
0.5356 0.8474 0.4177
0.5767 0.4821 0.6162
0.0767 0.5179 0.3838
0.5443 0.9471 0.1036
0.0443 0.0529 0.8964
0.5287 0.4057 0.2273
0.0287 0.5943 0.7727
0.5857 0.9606 0.6974
0.0857 0.0394 0.3026
```

--- ii ---
Density functional theory data (SCAN) for MnI2O6 at its PBEsol-relaxed geometry.

Output
Its crystal system is orthorhombic. The density comes out at 5.31 g cm⁻³. Its symmetry is No. 19.

```
MnI2O6
1.0
-0.3289 3.3843 -4.1156
-0.7509 -4.3525 -3.5191
-16.6251 1.0776 2.2147
Mn I O
4 8 24
Direct
0.7027 0.1781 0.0936
0.2027 0.3219 0.9064
0.2973 0.6781 0.4064
0.7973 0.8219 0.5936
0.9564 0.1477 0.4242
0.2448 0.2379 0.2113
0.7448 0.2621 0.7887
0.4564 0.3523 0.5758
0.0436 0.6477 0.0758
0.7552 0.7379 0.2887
0.2552 0.7621 0.7113
0.5436 0.8523 0.9242
0.1079 0.0079 0.3336
0.0295 0.0323 0.1592
0.5258 0.0467 0.2039
0.4357 0.1109 0.9833
0.8713 0.1074 0.8796
0.7387 0.1673 0.5478
0.2387 0.3327 0.4522
0.3713 0.3926 0.1204
0.9357 0.3891 0.0167
0.0258 0.4533 0.7961
0.5295 0.4677 0.8408
0.6079 0.4921 0.6664
0.8921 0.5079 0.1664
0.9705 0.5323 0.3408
0.4742 0.5467 0.2961
0.5643 0.6109 0.5167
0.1287 0.6074 0.6204
0.2613 0.6673 0.9522
0.7613 0.8327 0.0478
0.6287 0.8926 0.3796
0.0643 0.8891 0.4833
0.9742 0.9533 0.7039
0.4705 0.9677 0.6592
0.3921 0.9921 0.8336
```

Here are the energies relative to the best structure, in meV/atom: i 0; ii 22.

--- i ---
Density functional theory data (SCAN) for MnTe2PI at its PBEsol-relaxed geometry.

Output
Its crystal system is tetragonal. The density comes out at 5.42 g cm⁻³. Its symmetry is No. 123.

```
MnTe2PI
1.0
-3.8968 -3.6711 -0.4518
2.9176 -2.6904 -3.3037
2.0311 -2.6415 3.9449
I P Te Mn
1 1 2 1
Direct
0.5000 0.0000 0.0000
0.0000 0.0000 0.0000
0.0000 0.0000 0.5000
0.0000 0.5000 0.0000
0.5000 0.5000 0.5000
```

--- ii ---
Density functional theory data (SCAN) for MnTe2PI at its PBEsol-relaxed geometry.

Output
Its crystal system is tetragonal. The density comes out at 5.78 g cm⁻³. Its symmetry is No. 123.

```
MnTe2PI
1.0
4.5657 0.0000 0.0000
0.0000 5.4267 0.0000
0.0000 0.0000 5.4267
I P Te Mn
1 1 2 1
Direct
0.5000 0.5000 0.5000
0.0000 0.0000 0.0000
0.0000 0.0000 0.5000
0.0000 0.5000 0.0000
0.5000 0.0000 0.0000
```

Here are the energies relative to the best structure, in meV/atom: i 142; ii 0.